No. 1
A relaxed CaYRe3 crystal. Source: Alexandria, functional PBE. Values from VASP.

Geometry as Quantum ESPRESSO input:
```
&SYSTEM
  ibrav = 0, nat = 5, ntyp = 3
/
ATOMIC_SPECIES
Y 88.91 Y.upf
Re 186.21 Re.upf
Ca 40.08 Ca.upf
ATOMIC_POSITIONS crystal
Y 0.0000 0.0000 0.0000
Re 0.0000 0.5000 0.0000
Re 0.0000 0.0000 0.5000
Re 0.5000 0.0000 0.0000
Ca 0.5000 0.5000 0.5000
CELL_PARAMETERS angstrom
4.9394 0.0000 0.0000
0.0000 4.9394 0.0000
0.0000 0.0000 4.9394
```

## Properties
Calculated volume in A^3/atom: 24.10
ΔE_f in kcal/mol of atoms: 57.0
Theoretical density in Mg/m³: 9.47
Relative energy among the computed polymorphs in eV per formula unit: 0.00
E_tot in eV for the cell shown: -33.454


No. 2
A relaxed Sm5Ho2Tm6 crystal. Source: Alexandria, functional PBE. Values from VASP.

Geometry as Quantum ESPRESSO input:
```
&SYSTEM
  ibrav = 0, nat = 26, ntyp = 3
/
ATOMIC_SPECIES
Sm 150.36 Sm.upf
Ho 164.93 Ho.upf
Tm 168.93 Tm.upf
ATOMIC_POSITIONS crystal
Sm 0.5000 0.3012 0.4502
Sm 0.5000 0.6988 0.5498
Sm 0.5000 0.8012 0.0498
Sm 0.5000 0.1988 0.9502
Sm 0.5000 0.5839 0.2723
Sm 0.5000 0.4161 0.7277
Sm 0.5000 0.0839 0.2277
Sm 0.5000 0.9161 0.7723
Sm 0.5000 0.5000 0.0000
Sm 0.5000 0.0000 0.5000
Ho 0.0000 0.3290 0.2902
Ho 0.0000 0.6710 0.7098
Ho 0.0000 0.8290 0.2098
Ho 0.0000 0.1710 0.7902
Tm 0.0000 0.0805 0.3690
Tm 0.0000 0.9195 0.6310
Tm 0.0000 0.5805 0.1310
Tm 0.0000 0.4195 0.8690
Tm 0.5000 0.3249 0.1380
Tm 0.5000 0.6751 0.8620
Tm 0.5000 0.8249 0.3620
Tm 0.5000 0.1751 0.6380
Tm 0.0000 0.5609 0.4185
Tm 0.0000 0.4391 0.5815
Tm 0.0000 0.0609 0.0815
Tm 0.0000 0.9391 0.9185
CELL_PARAMETERS angstrom
-1.2221 -2.3431 -2.3814
9.3078 1.8421 -6.5889
9.7982 -14.9343 9.6662
```

## Properties
Calculated volume in A^3/atom: 32.10
ΔE_f in kcal/mol of atoms: 2.2
Theoretical density in Mg/m³: 8.34
E_tot in eV for the cell shown: -116.626


No. 3
A relaxed Ce3Cd2In3Ga crystal. Source: Alexandria, functional PBE. Values from VASP.

Geometry as Quantum ESPRESSO input:
```
&SYSTEM
  ibrav = 0, nat = 9, ntyp = 4
/
ATOMIC_SPECIES
Ce 140.12 Ce.upf
Cd 112.41 Cd.upf
In 114.82 In.upf
Ga 69.72 Ga.upf
ATOMIC_POSITIONS crystal
Ce 0.5000 0.7172 0.0000
Ce 0.5000 0.0000 0.7172
Ce 0.5000 0.2828 0.2828
Cd 0.5000 0.6667 0.3333
Cd 0.5000 0.3333 0.6667
In 0.0000 0.6241 0.6241
In 0.0000 0.0000 0.3759
In 0.0000 0.3759 0.0000
Ga 0.0000 0.0000 0.0000
CELL_PARAMETERS angstrom
3.2990 0.0000 0.0000
0.0000 8.9908 0.0000
0.0000 -4.4954 7.7863
```

## Properties
Calculated volume in A^3/atom: 25.66
ΔE_f in kcal/mol of atoms: -4.7
Theoretical density in Mg/m³: 7.62
E_tot in eV for the cell shown: -32.714


No. 4
A relaxed Rb3Ni2AgCl9 crystal. Source: Alexandria, functional PBE. Values from VASP.

Geometry as Quantum ESPRESSO input:
```
&SYSTEM
  ibrav = 0, nat = 15, ntyp = 4
/
ATOMIC_SPECIES
Rb 85.47 Rb.upf
Ni 58.69 Ni.upf
Ag 107.87 Ag.upf
Cl 35.45 Cl.upf
ATOMIC_POSITIONS crystal
Rb 0.3333 0.6667 0.6671
Rb 0.0000 0.0000 0.0000
Rb 0.6667 0.3333 0.3329
Ni 0.3333 0.6667 0.1627
Ni 0.6667 0.3333 0.8373
Ag 0.0000 0.0000 0.5000
Cl 0.8242 0.1758 0.6820
Cl 0.8242 0.6483 0.6820
Cl 0.3517 0.1758 0.6820
Cl 0.6483 0.8242 0.3180
Cl 0.1758 0.3517 0.3180
Cl 0.1758 0.8242 0.3180
Cl 0.5000 0.0000 0.0000
Cl 0.0000 0.5000 0.0000
Cl 0.5000 0.5000 0.0000
CELL_PARAMETERS angstrom
7.0052 0.0000 0.0000
-3.5026 6.0667 0.0000
0.0000 0.0000 8.6299
```

## Properties
Formation energy from raw total energies in meV/atom: -1086.7
Calculated volume in A^3/atom: 24.45
Theoretical density in Mg/m³: 3.63
E_tot in eV for the cell shown: -50.237


No. 5
A relaxed Nd4TlSnN crystal. Source: Alexandria, functional PBE. Values from VASP.

Geometry as Quantum ESPRESSO input:
```
&SYSTEM
  ibrav = 0, nat = 14, ntyp = 4
/
ATOMIC_SPECIES
Nd 144.24 Nd.upf
Tl 204.38 Tl.upf
Sn 118.71 Sn.upf
N 14.01 N.upf
ATOMIC_POSITIONS crystal
Nd 0.9132 0.2500 0.8265
Nd 0.4134 0.7500 0.8269
Nd 0.0867 0.7500 0.1735
Nd 0.5866 0.2500 0.1731
Nd 0.5000 0.5000 0.5000
Nd 0.0000 0.0000 0.5000
Nd 0.5000 0.0000 0.5000
Nd 0.0000 0.5000 0.5000
Tl 0.6103 0.7500 0.2206
Tl 0.3897 0.2500 0.7794
Sn 0.1096 0.2500 0.2193
Sn 0.8904 0.7500 0.7807
N 0.2519 0.7500 0.5038
N 0.7481 0.2500 0.4962
CELL_PARAMETERS angstrom
-5.5851 2.1727 -3.5431
-4.0833 -1.7512 5.3628
3.7224 6.4956 4.9553
```

## Properties
Formation energy from raw total energies in meV/atom: -749.2
Calculated volume in A^3/atom: 28.66
Theoretical density in Mg/m³: 7.57
E_tot in eV for the cell shown: -78.021


No. 6
A relaxed PmPdI6 crystal. Source: Alexandria, functional PBE. Values from VASP.

Geometry as Quantum ESPRESSO input:
```
&SYSTEM
  ibrav = 0, nat = 8, ntyp = 3
/
ATOMIC_SPECIES
Pm 145.00 Pm.upf
Pd 106.42 Pd.upf
I 126.90 I.upf
ATOMIC_POSITIONS crystal
Pm 0.5000 0.5000 0.5000
Pd 0.0000 0.0000 0.0000
I 0.0786 0.4017 0.7549
I 0.7724 0.0681 0.7678
I 0.5973 0.2220 0.2424
I 0.2276 0.9319 0.2322
I 0.9214 0.5983 0.2451
I 0.4027 0.7780 0.7576
CELL_PARAMETERS angstrom
7.2992 0.2286 -0.0544
3.8396 6.5410 -0.1885
3.6524 2.0851 6.6013
```

## Properties
Formation energy from raw total energies in meV/atom: -632.7
Calculated volume in A^3/atom: 39.12
Theoretical density in Mg/m³: 5.37
E_tot in eV for the cell shown: -24.306


No. 7
A relaxed ZnPCl3 crystal. Source: Alexandria, functional PBE. Values from VASP.

Geometry as Quantum ESPRESSO input:
```
&SYSTEM
  ibrav = 0, nat = 5, ntyp = 3
/
ATOMIC_SPECIES
P 30.97 P.upf
Zn 65.41 Zn.upf
Cl 35.45 Cl.upf
ATOMIC_POSITIONS crystal
P 0.0000 0.0000 0.0000
Zn 0.5000 0.5000 0.5000
Cl 0.0000 0.5000 0.0000
Cl 0.0000 0.0000 0.5000
Cl 0.5000 0.0000 0.0000
CELL_PARAMETERS angstrom
4.8767 0.0000 0.0000
0.0000 4.8767 0.0000
0.0000 0.0000 4.8767
```

## Properties
Formation energy from raw total energies in meV/atom: -46.0
Calculated volume in A^3/atom: 23.20
Theoretical density in Mg/m³: 2.90
Relative energy among the computed polymorphs in eV per formula unit: 0.00
E_tot in eV for the cell shown: -12.454


No. 8
A relaxed Tl12Sn6Bi crystal. Source: Alexandria, functional PBE. Values from VASP.

Geometry as Quantum ESPRESSO input:
```
&SYSTEM
  ibrav = 0, nat = 19, ntyp = 3
/
ATOMIC_SPECIES
Tl 204.38 Tl.upf
Sn 118.71 Sn.upf
Bi 208.98 Bi.upf
ATOMIC_POSITIONS crystal
Tl 0.5834 0.1919 0.4817
Tl 0.1919 0.4817 0.5834
Tl 0.4817 0.5834 0.1919
Tl 0.4166 0.8081 0.5183
Tl 0.8081 0.5183 0.4166
Tl 0.5183 0.4166 0.8081
Tl 0.9589 0.8468 0.6245
Tl 0.3755 0.0411 0.1532
Tl 0.1532 0.3755 0.0411
Tl 0.0411 0.1532 0.3755
Tl 0.6245 0.9589 0.8468
Tl 0.8468 0.6245 0.9589
Sn 0.2632 0.1073 0.7391
Sn 0.8927 0.2609 0.7368
Sn 0.2609 0.7368 0.8927
Sn 0.7368 0.8927 0.2609
Sn 0.1073 0.7391 0.2632
Sn 0.7391 0.2632 0.1073
Bi 0.0000 0.0000 0.0000
CELL_PARAMETERS angstrom
-5.9946 5.3749 2.5618
-5.6832 -6.2518 0.0526
1.8316 -1.6931 8.0725
```

## Properties
Calculated volume in A^3/atom: 31.74
ΔE_f in kcal/mol of atoms: 1.2
Theoretical density in Mg/m³: 9.29
E_tot in eV for the cell shown: -55.343


No. 9
A relaxed LaZnPdPt3 crystal. Source: Alexandria, functional PBE. Values from VASP.

Geometry as Quantum ESPRESSO input:
```
&SYSTEM
  ibrav = 0, nat = 12, ntyp = 4
/
ATOMIC_SPECIES
La 138.91 La.upf
Zn 65.41 Zn.upf
Pd 106.42 Pd.upf
Pt 195.08 Pt.upf
ATOMIC_POSITIONS crystal
La 0.7500 0.2981 0.5962
La 0.2500 0.7019 0.4038
Zn 0.2500 0.3576 0.7151
Zn 0.7500 0.6424 0.2849
Pd 0.2500 0.9177 0.8355
Pd 0.7500 0.0823 0.1645
Pt 0.2500 0.1518 0.3037
Pt 0.0000 0.2990 0.0000
Pt 0.5000 0.7010 0.0000
Pt 0.5000 0.2990 0.0000
Pt 0.0000 0.7010 0.0000
Pt 0.7500 0.8482 0.6963
CELL_PARAMETERS angstrom
5.7732 0.0000 0.0000
0.0000 6.6997 0.0000
0.0000 -3.3498 6.0467
```

## Properties
Calculated volume in A^3/atom: 19.49
ΔE_f in kcal/mol of atoms: -12.0
Theoretical density in Mg/m³: 12.72
E_tot in eV for the cell shown: -65.278


No. 10
A relaxed NdEr4Mg2 crystal. Source: Alexandria, functional PBE. Values from VASP.

Geometry as Quantum ESPRESSO input:
```
&SYSTEM
  ibrav = 0, nat = 7, ntyp = 3
/
ATOMIC_SPECIES
Nd 144.24 Nd.upf
Er 167.26 Er.upf
Mg 24.30 Mg.upf
ATOMIC_POSITIONS crystal
Nd 0.0000 0.0000 0.0000
Er 0.8131 0.8131 0.6261
Er 0.1869 0.1869 0.3739
Er 0.0000 0.5000 0.0000
Er 0.5000 0.0000 0.0000
Mg 0.3878 0.3878 0.7756
Mg 0.6122 0.6122 0.2244
CELL_PARAMETERS angstrom
5.5069 0.0000 0.0000
0.0000 5.5069 0.0000
-2.7535 -2.7535 7.9722
```

## Properties
Calculated volume in A^3/atom: 34.54
ΔE_f in kcal/mol of atoms: 16.2
Theoretical density in Mg/m³: 5.92
Relative energy among the computed polymorphs in eV per formula unit: 4.65
E_tot in eV for the cell shown: -21.280